## TiCrReGe (PBE)

Data for a geometry-optimized TiCrReGe structure.

POSCAR file:
```
TiCrReGe
1.0
-0.4266 -1.7723 3.9468
3.4736 -1.6469 2.0303
1.6449 2.0212 3.4798
Re Ge Ti Cr
1 1 1 1
direct
0.0000 0.0000 0.0000
0.7500 0.7500 0.7500
0.2500 0.2500 0.2500
0.5000 0.5000 0.5000
```

Calculated values
The formation energy is -14.6 kJ per mole of atoms. Its electronic total energy is -8.797 eV per atom. The total magnetic moment is 0.737 μB per atom.

## SmMg3Hg3 (PBE)

Data for a geometry-optimized SmMg3Hg3 structure.

POSCAR file:
```
SmMg3Hg3
1.0
-4.2209 -1.3189 -2.3056
-0.4725 -7.1732 4.9684
-3.7737 7.4175 2.6653
Sm Mg Hg
2 6 6
direct
0.2500 0.6667 0.3333
0.7500 0.3333 0.6667
0.7500 0.0029 0.7726
0.7500 0.7697 0.9971
0.2500 0.7726 0.7697
0.7500 0.2274 0.2303
0.2500 0.2303 0.0029
0.2500 0.9971 0.2274
0.7500 0.6301 0.5508
0.7500 0.9207 0.3699
0.2500 0.5508 0.9207
0.7500 0.4492 0.0793
0.2500 0.0793 0.6301
0.2500 0.3699 0.4492
```

Calculated values
The formation energy is -24.9 kJ per mole of atoms. Its electronic total energy is -1.745 eV per atom. The total magnetic moment is 0.000 μB per atom. The value obtained for the relative energy among the computed polymorphs is 0.00 eV per formula unit.

## BaTa2Ge (PBE)

Data for a geometry-optimized BaTa2Ge structure.

POSCAR file:
```
BaTa2Ge
1.0
-2.6951 4.1826 0.6372
-4.2051 -2.5649 -0.9502
-4.3430 -1.1909 9.1934
Ge Ba Ta
2 2 4
direct
0.5000 0.5000 0.0000
0.2500 0.7500 0.5000
0.0000 0.0000 0.0000
0.7500 0.2500 0.5000
0.3633 0.1250 0.2500
0.3867 0.6250 0.2500
0.3750 0.6367 0.7500
0.8750 0.6133 0.7500
```

Calculated values
The formation energy is 70.6 kJ per mole of atoms. Its electronic total energy is -6.830 eV per atom. The total magnetic moment is 0.000 μB per atom.

## Sr4CeSe6 (PBE)

Data for a geometry-optimized Sr4CeSe6 structure.

POSCAR file:
```
Sr4CeSe6
1.0
8.7293 -0.0370 -0.0360
0.0357 8.7293 -0.0360
0.0373 0.0370 8.7293
Sr Ce Se
8 2 12
direct
0.3722 0.1278 0.2500
0.8722 0.2500 0.3722
0.2500 0.6278 0.1278
0.2500 0.2500 0.7500
0.7500 0.7500 0.2500
0.7500 0.3722 0.8722
0.1278 0.7500 0.6278
0.6278 0.8722 0.7500
0.5000 0.5000 0.5000
0.0000 0.0000 0.0000
0.6904 0.0601 0.0794
0.0794 0.3096 0.0601
0.5794 0.4399 0.1904
0.9399 0.0794 0.6904
0.5601 0.1904 0.5794
0.1904 0.4206 0.4399
0.8096 0.5794 0.5601
0.4399 0.8096 0.4206
0.0601 0.9206 0.3096
0.4206 0.5601 0.8096
0.9206 0.6904 0.9399
0.3096 0.9399 0.9206
```

Calculated values
Its electronic total energy is -4.938 eV per atom. The formation energy from raw total energies is -1.886 eV/atom. The total magnetic moment is 0.000 μB per atom.

## Tb5Os2Au2 (PBE)

Data for a geometry-optimized Tb5Os2Au2 structure.

POSCAR file:
```
Tb5Os2Au2
1.0
-7.3114 -0.0980 -1.6176
-1.2623 -4.4242 5.9736
-4.7202 6.2372 3.6220
Tb Os Au
10 4 4
direct
0.0000 0.0000 0.0000
0.5000 0.5000 0.0000
0.4504 0.1784 0.7411
0.8085 0.8216 0.7411
0.3085 0.6784 0.7411
0.9504 0.3216 0.7411
0.5496 0.8216 0.2589
0.1915 0.1784 0.2589
0.6915 0.3216 0.2589
0.0496 0.6784 0.2589
0.1175 0.3829 0.0000
0.8825 0.6171 0.0000
0.3825 0.8829 0.0000
0.6175 0.1171 0.0000
0.2126 0.0000 0.5747
0.7126 0.5000 0.5747
0.7874 0.0000 0.4253
0.2874 0.5000 0.4253
```

Calculated values
The formation energy is -48.1 kJ per mole of atoms. Its electronic total energy is -6.295 eV per atom. The total magnetic moment is 0.000 μB per atom.

## CdBr (PBE)

Data for a geometry-optimized CdBr structure.

POSCAR file:
```
CdBr
1.0
9.3667 0.0124 0.0074
8.5392 3.8494 0.0074
8.5392 1.8417 3.3803
Br Cd
2 2
direct
0.9751 0.9751 0.9751
0.7749 0.7749 0.7749
0.5030 0.5030 0.5030
0.2470 0.2470 0.2470
```

Calculated values
Its electronic total energy is -1.843 eV per atom. The formation energy from raw total energies is -0.549 eV/atom. The total magnetic moment is 0.000 μB per atom.

## La2TlHPd (PBE)

Data for a geometry-optimized La2TlHPd structure.

POSCAR file:
```
La2TlHPd
1.0
5.4103 0.0000 0.0000
0.0000 5.4103 0.0000
0.0000 0.0000 3.9263
H Tl Pd La
1 1 1 2
direct
0.0000 0.0000 0.0000
0.5000 0.5000 0.5000
0.0000 0.0000 0.5000
0.0000 0.5000 0.0000
0.5000 0.0000 0.0000
```

Calculated values
Its electronic total energy is -4.649 eV per atom. The total magnetic moment is 0.100 μB per atom.

## LaMn2Co (PBE)

Data for a geometry-optimized LaMn2Co structure.

POSCAR file:
```
LaMn2Co
1.0
-1.5893 1.6217 -2.0768
-0.6974 -2.5978 -1.4947
-6.1123 -0.7248 4.1115
Co La Mn
1 1 2
direct
0.5000 0.5000 0.2500
0.5000 0.5000 0.7500
0.0000 0.0000 0.0713
0.0000 0.0000 0.4287
```

Calculated values
The formation energy is 25.4 kJ per mole of atoms. Its electronic total energy is -7.329 eV per atom. The total magnetic moment is 1.955 μB per atom.

## Mg2TaMo (PBE)

Data for a geometry-optimized Mg2TaMo structure.

POSCAR file:
```
Mg2TaMo
1.0
4.5802 0.0000 0.0000
0.0000 2.7951 0.0013
0.0000 0.9058 5.7183
Mg Mo Ta
2 1 1
direct
0.0000 0.0225 0.9971
0.5000 0.2544 0.2578
0.0000 0.5058 0.5160
0.5000 0.7174 0.7292
```

Calculated values
The formation energy is 24.6 kJ per mole of atoms. Its electronic total energy is -6.213 eV per atom. The total magnetic moment is 0.000 μB per atom. The value obtained for the relative energy among the computed polymorphs is 0.42 eV per formula unit.

## Sm3Be2CuPd9 (PBE)

Data for a geometry-optimized Sm3Be2CuPd9 structure.

POSCAR file:
```
Sm3Be2CuPd9
1.0
-2.0868 -5.8034 -2.4575
6.4336 1.6104 -0.2990
1.0550 -3.0456 6.2963
Sm Be Cu Pd
3 2 1 9
direct
0.3333 0.6667 0.6678
0.0000 0.0000 0.0000
0.6667 0.3333 0.3322
0.3333 0.6667 0.1421
0.6667 0.3333 0.8579
0.0000 0.0000 0.5000
0.8170 0.1830 0.6713
0.8170 0.6340 0.6713
0.3660 0.1830 0.6713
0.6340 0.8170 0.3287
0.1830 0.3660 0.3287
0.1830 0.8170 0.3287
0.5000 0.0000 0.0000
0.0000 0.5000 0.0000
0.5000 0.5000 0.0000
```

Calculated values
The formation energy is -53.8 kJ per mole of atoms. Its electronic total energy is -5.388 eV per atom. The total magnetic moment is 0.000 μB per atom.

## UTl3Te6Pd2 (PBE)

Data for a geometry-optimized UTl3Te6Pd2 structure.

POSCAR file:
```
UTl3Te6Pd2
1.0
-6.2852 0.2939 2.9463
5.0673 -3.6191 3.0814
2.7677 8.1127 2.4015
U Tl Te Pd
1 3 6 2
direct
0.0000 0.0000 0.0000
0.1578 0.8422 0.5000
0.8422 0.1578 0.5000
0.5000 0.5000 0.5000
0.9348 0.5778 0.8030
0.7064 0.7064 0.1925
0.0652 0.4222 0.1970
0.5778 0.9348 0.8030
0.2936 0.2936 0.8075
0.4222 0.0652 0.1970
0.3320 0.6680 0.0000
0.6680 0.3320 0.0000
```

Calculated values
Its electronic total energy is -4.317 eV per atom. The formation energy from raw total energies is -0.349 eV/atom. The total magnetic moment is 0.117 μB per atom.

## ZrAgTeI2 (PBE)

Data for a geometry-optimized ZrAgTeI2 structure.

POSCAR file:
```
ZrAgTeI2
1.0
-1.0224 0.1325 5.6583
-2.0171 -5.3809 -0.2385
5.1747 -1.9833 0.9815
I Te Zr Ag
2 1 1 1
direct
0.0000 0.5000 0.0000
0.5000 0.0000 0.0000
0.0000 0.0000 0.5000
0.0000 0.0000 0.0000
0.5000 0.5000 0.5000
```

Calculated values
Its electronic total energy is -3.639 eV per atom. The formation energy from raw total energies is -0.111 eV/atom. The total magnetic moment is 0.000 μB per atom. The value obtained for the relative energy among the computed polymorphs is 0.00 eV per formula unit.

## Ba12NaAu6 (PBE)

Data for a geometry-optimized Ba12NaAu6 structure.

POSCAR file:
```
Ba12NaAu6
1.0
-4.7823 -6.0479 -6.9627
9.6822 1.9801 -3.2032
0.3143 -4.8629 9.1750
Ba Na Au
12 1 6
direct
0.3144 0.1351 0.8207
0.3144 0.4937 0.1793
0.6856 0.5063 0.8207
0.6856 0.8649 0.1793
0.1351 0.8207 0.3144
0.4937 0.1793 0.3144
0.5063 0.8207 0.6856
0.8649 0.1793 0.6856
0.8207 0.3144 0.1351
0.1793 0.3144 0.4937
0.8207 0.6856 0.5063
0.1793 0.6856 0.8649
0.0000 0.0000 0.0000
0.3767 0.5000 0.8767
0.6233 0.5000 0.1233
0.5000 0.8767 0.3767
0.5000 0.1233 0.6233
0.8767 0.3767 0.5000
0.1233 0.6233 0.5000
```

Calculated values
The formation energy is -45.2 kJ per mole of atoms. Its electronic total energy is -2.787 eV per atom. The total magnetic moment is 0.001 μB per atom. The value obtained for the relative energy among the computed polymorphs is 0.00 eV per formula unit.

## Sc2TcHgC (PBE)

Data for a geometry-optimized Sc2TcHgC structure.

POSCAR file:
```
Sc2TcHgC
1.0
4.5862 0.0000 0.0000
0.0000 4.5862 0.0000
0.0000 0.0000 4.0066
Sc C Hg Tc
2 1 1 1
direct
0.0000 0.5000 0.0000
0.5000 0.0000 0.0000
0.0000 0.0000 0.0000
0.5000 0.5000 0.5000
0.0000 0.0000 0.5000
```

Calculated values
The formation energy is -42.3 kJ per mole of atoms. Its electronic total energy is -6.950 eV per atom. The total magnetic moment is 0.000 μB per atom. The value obtained for the relative energy among the computed polymorphs is 0.00 eV per formula unit.

## Cs3TlH (PBE)

Data for a geometry-optimized Cs3TlH structure.

POSCAR file:
```
Cs3TlH
1.0
-6.2968 4.0768 4.1600
-0.3283 -0.2274 8.5693
0.2492 9.1568 0.2466
Cs Tl H
6 2 2
direct
0.3715 0.0112 0.4953
0.0550 0.6708 0.9833
0.5403 0.1853 0.9838
0.0548 0.1852 0.9838
0.3714 0.5257 0.4958
0.8861 0.0112 0.4953
0.8414 0.5337 0.5478
0.5850 0.6628 0.9313
0.0426 0.9336 0.7453
0.3838 0.2628 0.7338
```

Calculated values
Its electronic total energy is -1.664 eV per atom. The total magnetic moment is 0.031 μB per atom. The value obtained for the relative energy among the computed polymorphs is 0.05 eV per formula unit.

## HfPaNbIr (PBE)

Data for a geometry-optimized HfPaNbIr structure.

POSCAR file:
```
HfPaNbIr
1.0
-2.0543 3.1372 3.0268
-0.5987 -1.1651 4.6376
2.6520 2.1667 3.3905
Nb Pa Hf Ir
1 1 1 1
direct
0.5000 0.5000 0.5000
0.2500 0.2500 0.2500
0.7500 0.7500 0.7500
0.0000 0.0000 0.0000
```

Calculated values
The formation energy is -36.4 kJ per mole of atoms. Its electronic total energy is -9.972 eV per atom. The total magnetic moment is 0.000 μB per atom.

## Nd8AgRh2 (PBE)

Data for a geometry-optimized Nd8AgRh2 structure.

POSCAR file:
```
Nd8AgRh2
1.0
-0.4760 -5.0225 -2.9890
2.7958 -2.9469 7.0108
-7.7834 2.2517 -0.0398
Nd Ag Rh
8 1 2
direct
0.9282 0.9116 0.6627
0.9282 0.6627 0.9116
0.3158 0.6139 0.6139
0.5000 0.7645 0.2355
0.5000 0.2355 0.7645
0.6842 0.3861 0.3861
0.0718 0.3373 0.0884
0.0718 0.0884 0.3373
0.5000 0.0000 0.0000
0.0000 0.2887 0.7113
0.0000 0.7113 0.2887
```

Calculated values
The formation energy is -22.3 kJ per mole of atoms. Its electronic total energy is -5.294 eV per atom. The total magnetic moment is 0.000 μB per atom.

## Ac2HoAs4Pd3 (PBE)

Data for a geometry-optimized Ac2HoAs4Pd3 structure.

POSCAR file:
```
Ac2HoAs4Pd3
1.0
4.5503 0.0000 0.0000
0.0000 4.5503 0.0000
0.0000 0.0000 10.9304
Ac Ho As Pd
2 1 4 3
direct
0.5000 0.0000 0.2194
0.0000 0.5000 0.7806
0.5000 0.5000 0.5000
0.5000 0.5000 0.0000
0.0000 0.0000 0.0000
0.5000 0.0000 0.6509
0.0000 0.5000 0.3491
0.0000 0.0000 0.5000
0.5000 0.0000 0.8872
0.0000 0.5000 0.1128
```

Calculated values
The formation energy is -97.6 kJ per mole of atoms. Its electronic total energy is -5.709 eV per atom. The total magnetic moment is 0.000 μB per atom.

## SiNi4Rh (PBE)

Data for a geometry-optimized SiNi4Rh structure.

POSCAR file:
```
SiNi4Rh
1.0
-1.4599 -3.8770 2.1020
-4.5476 -0.8847 0.3434
-1.8953 -3.4255 -2.5010
Si Ni Rh
1 4 1
direct
0.0000 0.0000 0.0000
0.8747 0.3751 0.3751
0.3751 0.3751 0.3751
0.3751 0.3751 0.8747
0.3751 0.8747 0.3751
0.7500 0.7500 0.7500
```

Calculated values
Its electronic total energy is -5.938 eV per atom. The formation energy from raw total energies is 0.045 eV/atom. The total magnetic moment is 0.235 μB per atom.

## Nd2CdGe4Pd3 (PBE)

Data for a geometry-optimized Nd2CdGe4Pd3 structure.

POSCAR file:
```
Nd2CdGe4Pd3
1.0
4.3145 0.0000 0.0000
0.0000 4.3145 0.0000
0.0000 0.0000 10.7665
Nd Cd Ge Pd
2 1 4 3
direct
0.5000 0.0000 0.2424
0.0000 0.5000 0.7576
0.5000 0.5000 0.5000
0.5000 0.5000 0.0000
0.0000 0.0000 0.0000
0.5000 0.0000 0.6490
0.0000 0.5000 0.3510
0.0000 0.0000 0.5000
0.5000 0.0000 0.8767
0.0000 0.5000 0.1233
```

Calculated values
The formation energy is -68.5 kJ per mole of atoms. Its electronic total energy is -5.160 eV per atom. The total magnetic moment is 0.000 μB per atom.